The following is a DFT calculation (GGA+U) of a geometry-optimized Na3Ac2VO6 structure.

Cell lengths 6.2572, 6.2572, 5.9430 Å; angles 98.44, 98.44, 121.69 degrees
Closest atoms and distances in Å follow each position.
Fractional positions:
Na1 0.0000 0.0000 0.0000  6 O 2.60
Na2 0.3709 0.6291 0.0000  4 O 2.37-2.41
Na3 0.6291 0.3709 0.0000  4 O 2.37-2.41
Ac1 0.1673 0.8327 0.5000  6 O 2.48-2.56
Ac2 0.8327 0.1673 0.5000  6 O 2.48-2.56
V1 0.5000 0.5000 0.5000  6 O 2.11-2.26
O1 0.1599 0.4395 0.2924  1 V 2.11
O2 0.2507 0.2507 0.7142  1 V 2.26, 2 Na 2.37, 2 Ac 2.48
O3 0.4395 0.1599 0.2924  1 V 2.11
O4 0.5605 0.8401 0.7076  1 V 2.11
O5 0.7493 0.7493 0.2858  1 V 2.26, 2 Na 2.37, 2 Ac 2.48
O6 0.8401 0.5605 0.7076  1 V 2.11

Calculated values
DFT total energy = -6.383 eV per atom